Nb6In2C: relaxed, PBE-GGA.

The calculated formation energy is -103 meV/atom. For the calculated volume, the calculation gives 17.65 Å³/atom. The total energy is -8.449 eV/atom.

It has space group Fm-3m (No. 225), with a = 8.5976 Å, b = 8.5976 Å, c = 8.5976 Å, α = 90.00°, β = 90.00° and γ = 90.00°. Symmetry generates all atoms from Nb at (0.0000, 0.0000, 0.2429), In at (0.2500, 0.2500, 0.2500) and C at (0.0000, 0.0000, 0.5000).



CuNi2PtPb: relaxed, PBE-GGA.

The calculated formation energy is 1436 meV/atom. For the calculated volume, the calculation gives 20.00 Å³/atom. The total energy is -3.645 eV/atom.

It has space group P4/mmm (No. 123), with a = 4.6289 Å, b = 4.6289 Å, c = 4.6669 Å, α = 90.00°, β = 90.00° and γ = 90.00°. Symmetry generates all atoms from Cu at (0.0000, 0.0000, 0.0000), Ni at (0.0000, 0.5000, 0.5000), Pt at (0.5000, 0.5000, 0.0000) and Pb at (0.0000, 0.0000, 0.5000).



MgGe2Ir2: relaxed, PBE-GGA.

The calculated formation energy is -269 meV/atom. For the calculated volume, the calculation gives 17.61 Å³/atom. The total energy is -5.979 eV/atom.

It has space group C2/c (No. 15), with a = 9.1585 Å, b = 8.4701 Å, c = 5.0424 Å, α = 90.00°, β = 115.80° and γ = 90.00°. Symmetry generates all atoms from Mg at (0.0000, 0.1078, 0.2500), Ge at (0.2257, 0.3915, 0.1128), Ir at (0.0000, 0.2230, 0.7500) and Ir at (0.0000, 0.4330, 0.2500).



Pm2PrNdSe4: relaxed, PBE-GGA.

For the calculated volume, the calculation gives 26.62 Å³/atom. For the formation energy (no corrections), the calculation gives -1.8365 eV per atom. The total energy is -5.960 eV/atom.

It has space group P2/m (No. 10), with a = 7.3404 Å, b = 4.1748 Å, c = 7.3460 Å, α = 90.00°, β = 108.91° and γ = 90.00°. Symmetry generates all atoms from Pm at (0.0000, 0.0000, 0.0000), Pm at (0.0000, 0.5000, 0.5000), Pr at (0.5000, 0.0000, 0.5000), Nd at (0.5000, 0.5000, 0.0000), Se at (0.2449, 0.5000, 0.2469) and Se at (0.2459, 0.0000, 0.7500).



Ba3Sb2O: relaxed, PBE-GGA.

For the calculated volume, the calculation gives 35.49 Å³/atom. For the formation energy (no corrections), the calculation gives -1.4277 eV per atom. The total energy is -4.590 eV/atom.

It has space group Cmcm (No. 63), with a = 4.1208 Å, b = 26.9709 Å, c = 7.6633 Å, α = 90.00°, β = 90.00° and γ = 90.00°. Symmetry generates all atoms from Ba at (0.0000, 0.0908, 0.0059), Ba at (0.0000, 0.2941, 0.2500), Sb at (0.0000, 0.3206, 0.7500), Sb at (0.0000, 0.4974, 0.2500) and O at (0.0000, 0.1474, 0.7500).



Nd8Sm6Sc: relaxed, PBE-GGA.

The calculated formation energy is 114 meV/atom. For the calculated volume, the calculation gives 34.40 Å³/atom. The total energy is -4.739 eV/atom.

It has space group R-3 (No. 148, hexagonal axes), with a = 9.2394 Å, b = 9.2394 Å, c = 20.9408 Å, α = 90.00°, β = 90.00° and γ = 120.00°. Symmetry generates all atoms from Nd at (0.0000, 0.0000, 0.0781), Nd at (0.0822, 0.5587, 0.3053), Sm at (0.0543, 0.2495, 0.2068) and Sc at (0.0000, 0.0000, 0.5000).



InSn2Se2: relaxed, PBE-GGA.

For the calculated volume, the calculation gives 30.38 Å³/atom. For the formation energy (no corrections), the calculation gives -0.1853 eV per atom. The total energy is -3.728 eV/atom.

It has space group I4/mmm (No. 139), with a = 5.5849 Å, b = 5.5849 Å, c = 9.7410 Å, α = 90.00°, β = 90.00° and γ = 90.00°. Symmetry generates all atoms from In at (0.0000, 0.0000, 0.0000), Sn at (0.0000, 0.0000, 0.3394) and Se at (0.0000, 0.5000, 0.2500).



BeAgBr2: relaxed, PBE-GGA.

For the calculated volume, the calculation gives 26.35 Å³/atom. For the formation energy (no corrections), the calculation gives -0.1047 eV per atom. The total energy is -2.586 eV/atom.

It has space group I-42d (No. 122), with a = 6.7529 Å, b = 6.7529 Å, c = 9.2455 Å, α = 90.00°, β = 90.00° and γ = 90.00°. Symmetry generates all atoms from Be at (0.0000, 0.0000, 0.0000), Ag at (0.0000, 0.0000, 0.5000) and Br at (0.1305, 0.2500, 0.1250).



Tm5CdIn3: relaxed, PBE-GGA.

The calculated formation energy is -387 meV/atom. For the calculated volume, the calculation gives 26.57 Å³/atom. The total energy is -3.885 eV/atom.

It has space group P6_3/mcm (No. 193), with a = 9.1538 Å, b = 9.1538 Å, c = 6.5911 Å, α = 90.00°, β = 90.00° and γ = 120.00°. Symmetry generates all atoms from Tm at (0.0000, 0.2914, 0.2500), Tm at (0.3333, 0.6667, 0.0000), Cd at (0.0000, 0.0000, 0.0000) and In at (0.0000, 0.3714, 0.7500).



TbZrFeRu: relaxed, PBE-GGA.

The calculated formation energy is -187 meV/atom. For the calculated volume, the calculation gives 18.01 Å³/atom. The total energy is -7.916 eV/atom.

It has space group F-43m (No. 216), with a = 6.6045 Å, b = 6.6045 Å, c = 6.6045 Å, α = 90.00°, β = 90.00° and γ = 90.00°. Symmetry generates all atoms from Tb at (0.0000, 0.0000, 0.0000), Zr at (0.0000, 0.0000, 0.5000), Fe at (0.2500, 0.2500, 0.7500) and Ru at (0.2500, 0.2500, 0.2500).



YAlCd: relaxed, PBE-GGA.

The calculated formation energy is -291 meV/atom. For the calculated volume, the calculation gives 22.92 Å³/atom. The total energy is -3.998 eV/atom.

It has space group Pnma (No. 62), with a = 6.2220 Å, b = 4.8068 Å, c = 9.1952 Å, α = 90.00°, β = 90.00° and γ = 90.00°. Symmetry generates all atoms from Y at (0.1817, 0.2500, 0.0778), Al at (0.1746, 0.2500, 0.4073) and Cd at (0.0263, 0.2500, 0.7226).



Cs5Pd2I: relaxed, PBE-GGA.

For the calculated volume, the calculation gives 49.34 Å³/atom. For the formation energy (no corrections), the calculation gives -0.3298 eV per atom. The total energy is -2.355 eV/atom.

It has space group I4/mcm (No. 140), with a = 9.5500 Å, b = 9.5500 Å, c = 17.3132 Å, α = 90.00°, β = 90.00° and γ = 90.00°. Symmetry generates all atoms from Cs at (0.0000, 0.0000, 0.0000), Cs at (0.1687, 0.3313, 0.1291), Pd at (0.1060, 0.3940, 0.5000) and I at (0.0000, 0.0000, 0.2500).



BaBi4Pd: relaxed, PBE-GGA.

The calculated formation energy is -281 meV/atom. For the calculated volume, the calculation gives 34.81 Å³/atom. The total energy is -4.054 eV/atom.

It has space group P-1 (No. 2), with a = 6.6915 Å, b = 7.0439 Å, c = 10.0774 Å, α = 69.90°, β = 70.63° and γ = 89.68°. Symmetry generates all atoms from Ba at (0.2408, 0.2474, 0.0017), Bi at (0.0808, 0.8071, 0.5999), Bi at (0.1704, 0.6667, 0.1821), Bi at (0.3196, 0.3064, 0.6028), Bi at (0.3482, 0.8283, 0.8187), Pd at (0.0000, 0.5000, 0.5000) and Pd at (0.5000, 0.0000, 0.5000).



CsRbAu3: relaxed, PBE-GGA.

The calculated formation energy is 473 meV/atom. For the calculated volume, the calculation gives 53.40 Å³/atom. The total energy is -1.858 eV/atom.

It has space group Pm-3m (No. 221), with a = 6.4393 Å, b = 6.4393 Å, c = 6.4393 Å, α = 90.00°, β = 90.00° and γ = 90.00°. Symmetry generates all atoms from Cs at (0.0000, 0.0000, 0.0000), Rb at (0.5000, 0.5000, 0.5000) and Au at (0.0000, 0.0000, 0.5000).



BaSrTlPd: relaxed, PBE-GGA.

The calculated formation energy is -346 meV/atom. For the calculated volume, the calculation gives 32.47 Å³/atom. The total energy is -3.137 eV/atom.

It has space group F-43m (No. 216), with a = 8.0389 Å, b = 8.0389 Å, c = 8.0389 Å, α = 90.00°, β = 90.00° and γ = 90.00°. Symmetry generates all atoms from Ba at (0.0000, 0.0000, 0.0000), Sr at (0.0000, 0.0000, 0.5000), Tl at (0.2500, 0.2500, 0.7500) and Pd at (0.2500, 0.2500, 0.2500).



FeNiOs: relaxed, PBE-GGA.

The calculated formation energy is 181 meV/atom. For the calculated volume, the calculation gives 12.18 Å³/atom. The total energy is -8.310 eV/atom.

It has space group I4mm (No. 107), with a = 3.0481 Å, b = 3.0481 Å, c = 7.8624 Å, α = 90.00°, β = 90.00° and γ = 90.00°. Symmetry generates all atoms from Fe at (0.0000, 0.0000, 0.0000), Ni at (0.0000, 0.0000, 0.6571) and Os at (0.0000, 0.0000, 0.3303).



Ta2AlW: relaxed, PBE-GGA.

The calculated formation energy is -69 meV/atom. For the calculated volume, the calculation gives 16.95 Å³/atom. The total energy is -10.169 eV/atom.

It has space group Cmm2 (No. 35), with a = 3.3739 Å, b = 4.4910 Å, c = 8.9507 Å, α = 90.00°, β = 90.00° and γ = 90.00°. Symmetry generates all atoms from Ta at (0.0000, 0.0000, 0.0000), Ta at (0.0000, 0.5000, 0.2631), Al at (0.0000, 0.0000, 0.5121) and W at (0.0000, 0.5000, 0.7457).



Ba2Pd6Au9: relaxed, PBE-GGA.

The calculated formation energy is -275 meV/atom. For the calculated volume, the calculation gives 22.29 Å³/atom. The total energy is -4.070 eV/atom.

It has space group P6/mmm (No. 191), with a = 5.6844 Å, b = 5.6844 Å, c = 13.5395 Å, α = 90.00°, β = 90.00° and γ = 120.00°. Symmetry generates all atoms from Ba at (0.0000, 0.0000, 0.1785), Pd at (0.3333, 0.6667, 0.1674), Pd at (0.3333, 0.6667, 0.5000), Au at (0.0000, 0.5000, 0.0000) and Au at (0.0000, 0.5000, 0.3361).



Ba2LaPt: relaxed, PBE-GGA.

The calculated formation energy is -227 meV/atom. For the calculated volume, the calculation gives 43.67 Å³/atom. The total energy is -3.930 eV/atom.

It has space group R-3m (No. 166, hexagonal axes), with a = 4.3039 Å, b = 4.3039 Å, c = 32.6688 Å, α = 90.00°, β = 90.00° and γ = 120.00°. Symmetry generates all atoms from Ba at (0.0000, 0.0000, 0.2239), La at (0.0000, 0.0000, 0.0000) and Pt at (0.0000, 0.0000, 0.5000).



LiSc2Re: relaxed, PBE-GGA.

The calculated formation energy is 75 meV/atom. For the calculated volume, the calculation gives 17.99 Å³/atom. The total energy is -6.681 eV/atom.

It has space group Pm (No. 6), with a = 3.2986 Å, b = 4.6704 Å, c = 4.6700 Å, α = 90.00°, β = 90.11° and γ = 90.00°. Symmetry generates all atoms from Li at (0.0000, 0.0000, 0.0000), Sc at (0.5002, 0.0000, 0.4994), Sc at (0.5001, 0.5000, 0.9990) and Re at (0.0002, 0.5000, 0.4988).



Q: Which magnetization values were calculated for the entries above? A: 0.00 0.02 0.00 0.00 0.00 0.00 0.00 0.00 0.00 0.07 0.00 0.00 0.00 0.00 0.00 0.49 0.00 0.00 0.22 0.00, in μB per atom.